Record 1
## CsCa2CrH (PBE-GGA)

Data for a geometry-optimized CsCa2CrH structure.

Cell lengths 6.2279, 4.9096, 6.2279 Å; angles 90.00, 90.00, 90.00 degrees
Closest atoms and distances in Å follow each position.
Sites, in units of the cell vectors:
1 Ca 0.5000 0.0000 0.0000  2 Cs 3.11
2 Ca 0.0000 0.0000 0.5000  2 Cs 3.11
3 Cs 0.0000 0.0000 0.0000  2 Cr 2.45
4 Cr 0.0000 0.5000 0.0000  2 Cs 2.45
5 H 0.5000 0.5000 0.5000  8 Ca 3.97, 4 Cr 4.40

---

Record 2
## CsCaCr2I8 (PBE-GGA)

Data for a geometry-optimized CsCaCr2I8 structure.

Properties
Uncorrected formation energy   -71.6 kJ per mole of atoms

Cell lengths 7.6461, 7.6461, 11.4804 Å; angles 70.55, 70.55, 60.00 degrees
Closest atoms and distances in Å follow each position.
Sites, in units of the cell vectors:
1 Cr 0.7434 0.7434 0.7699  4 I 2.58-2.67
2 I 0.6126 0.2793 0.1765  1 Cr 2.67
3 I 0.3874 0.7207 0.8235  1 Cr 2.67
4 Cr 0.2566 0.2566 0.2301  4 I 2.58-2.67
5 I 0.0684 0.3874 0.8235  1 Cr 2.67
6 I 0.9316 0.6126 0.1765  1 Cr 2.67
7 I 0.2793 0.9316 0.1765  1 Cr 2.67
8 I 0.7207 0.0684 0.8235  1 Cr 2.67
9 Ca 0.0000 0.0000 0.0000  6 I 3.16
10 I 0.8246 0.8246 0.5262  1 Cr 2.58
11 I 0.1754 0.1754 0.4738  1 Cr 2.58
12 Cs 0.5000 0.5000 0.5000  12 I 4.24-4.42

---

Record 3
## CsCaNb2Cr (PBE-GGA)

Data for a geometry-optimized CsCaNb2Cr structure.

Properties
Energy of formation   2.7214 eV/atom

Cell lengths 5.3045, 4.6856, 5.3045 Å; angles 90.00, 90.00, 90.00 degrees
Closest atoms and distances in Å follow each position.
Sites, in units of the cell vectors:
1 Nb 0.0000 0.0000 0.5000  2 Ca 2.65
2 Nb 0.5000 0.0000 0.0000  2 Ca 2.65
3 Cr 0.0000 0.5000 0.0000  2 Ca 2.34
4 Ca 0.0000 0.0000 0.0000  2 Cr 2.34
5 Cs 0.5000 0.5000 0.5000  8 Nb 3.54, 4 Cr 3.75

---

Number 1: final energy -0.0614 Ha/atom. Number 2: final energy -0.1329 Ha/atom. Number 3: final energy -0.1397 Ha/atom.